A relaxed DyYRu crystal, computed with PBE.

Output
ΔE to the lowest computed polymorph (meV per atom): 79.7
Crystal system: monoclinic
Energy of formation from the pure elements (eV/atom): -0.25
Uncorrected energy (eV per atom): -7.028

abc: 6.7634 6.7911 8.2962
angles: 90.00 126.85 90.00
Space group P2_1/c (No. 14)
Asymmetric unit:
Dy: 0.2171 0.1650 0.4188
Y: 0.2814 0.6654 0.5794
Ru: 0.2428 0.0042 0.7445

A relaxed NaInBr2 crystal, computed with PBE.

Output
ΔE to the lowest computed polymorph (meV per atom): 189.1
Crystal system: trigonal
Uncorrected energy (eV per atom): -2.751
Uncorrected formation energy (kJ/mol of formula units): -347

abc: 4.4312 4.4312 27.1719
angles: 90.00 90.00 120.00
Space group R-3m (No. 166, hexagonal axes)
Asymmetric unit:
Na: 0.0000 0.0000 0.0000
In: 0.0000 0.0000 0.5000
Br: 0.0000 0.0000 0.3927

A relaxed AgBiI2N crystal, computed with PBE.

Output
ΔE to the lowest computed polymorph (meV per atom): 0.0
Crystal system: tetragonal
Uncorrected energy (eV per atom): -2.871
Uncorrected formation energy (kJ/mol of formula units): 367

abc: 6.3404 6.3404 4.2428
angles: 90.00 90.00 90.00
Space group P4/mmm (No. 123)
Asymmetric unit:
Ag: 0.0000 0.0000 0.0000
Bi: 0.5000 0.5000 0.5000
I: 0.0000 0.5000 0.5000
N: 0.5000 0.5000 0.0000

A relaxed BaBi2Cl2 crystal, computed with PBE.

Output
ΔE to the lowest computed polymorph (meV per atom): 343.6
Crystal system: tetragonal
Uncorrected energy (eV per atom): -3.419
Uncorrected formation energy (kJ/mol of formula units): -359

abc: 5.8000 5.8000 11.0106
angles: 90.00 90.00 90.00
Space group I4/mmm (No. 139)
Asymmetric unit:
Ba: 0.0000 0.0000 0.0000
Bi: 0.0000 0.0000 0.3767
Cl: 0.0000 0.5000 0.2500